Model one:
Here is a geometry-optimized ZnCo2N structure from Alexandria via LeMat-Bulk. Energies are from PBE.

extended XYZ file:
```
4
Lattice="0.000 2.776 2.776 2.776 0.000 2.776 2.776 2.776 0.000" Properties=species:S:1:pos:R:3 pbc="T T T"
Zn 2.776 2.776 2.776
Co 1.388 1.388 1.388
Co 4.164 4.164 4.164
N 0.000 0.000 0.000
```

Results
Its space group is Fm-3m (225).

***

Model two:
Here is a geometry-optimized ZnCo2N structure from Alexandria via LeMat-Bulk. Energies are from PBE.

extended XYZ file:
```
4
Lattice="-1.716 0.305 2.152 -0.931 -2.228 1.355 4.022 -0.338 5.037" Properties=species:S:1:pos:R:3 pbc="T T T"
Zn 0.000 0.000 0.000
Co 0.630 -1.721 6.092
Co 0.744 -0.541 2.452
N 0.687 -1.131 4.272
```

Results
Its space group is R-3m (166).

***

Model three:
Here is a geometry-optimized ZnCo2N structure from Alexandria via LeMat-Bulk. Energies are from PBE.

extended XYZ file:
```
8
Lattice="5.852 0.000 0.000 0.000 5.852 0.000 2.926 2.926 2.655" Properties=species:S:1:pos:R:3 pbc="T T T"
Zn 0.000 0.000 0.000
Zn 5.852 2.926 1.327
Co 3.687 1.463 0.664
Co 2.165 4.389 0.664
Co 4.389 5.091 1.991
Co 7.315 6.613 1.991
N 2.926 2.926 0.000
N 2.926 5.852 1.327
```

Results
Its space group is I-42d (122).

***

Which one sits at the bottom of the stability order? model one does.

***

Model one:
Here is a geometry-optimized Zr4Co2N structure from Alexandria via LeMat-Bulk. Energies are from PBE.

extended XYZ file:
```
7
Lattice="-2.320 -1.847 1.442 3.622 -4.496 0.067 1.199 5.133 4.735" Properties=species:S:1:pos:R:3 pbc="T T T"
Zr -0.258 1.458 5.223
Zr 2.759 -2.668 1.021
Zr -0.148 -1.092 2.134
Zr 2.649 -0.118 4.111
Co 1.787 -2.566 3.359
Co 0.714 1.356 2.885
N 0.000 0.000 0.000
```

Results
Its space group is C2/m (12).

***

Model two:
Here is a geometry-optimized Zr4Co2N structure from Alexandria via LeMat-Bulk. Energies are from PBE.

extended XYZ file:
```
28
Lattice="-8.536 -0.396 1.154 -3.252 -0.564 7.966 -4.203 6.705 3.426" Properties=species:S:1:pos:R:3 pbc="T T T"
Zr -5.726 3.789 7.264
Zr -8.368 3.873 3.858
Zr -7.893 0.238 6.128
Zr -9.994 3.591 7.841
Zr -10.385 0.458 8.067
Zr -5.606 5.287 4.479
Zr -10.984 5.038 5.206
Zr -5.007 0.708 7.340
Zr -7.655 4.932 9.498
Zr -8.336 0.814 3.048
Zr -5.401 0.018 4.190
Zr -2.594 2.854 2.083
Zr -5.753 2.708 2.510
Zr -2.243 0.165 3.763
Zr -3.798 2.646 5.030
Zr -4.198 0.227 1.243
Co -9.600 2.225 5.572
Co -7.732 2.166 7.980
Co -8.068 4.735 6.375
Co -6.582 2.365 5.164
Co -10.389 4.957 10.110
Co -12.257 5.016 7.702
Co -11.921 2.446 9.307
Co -13.407 4.817 10.518
N -6.267 0.520 2.145
N -3.625 0.436 5.551
N -4.100 4.071 3.281
N -1.999 0.718 1.568
```

Results
Its space group is Fd-3m (227).

***

Which one sits at the bottom of the stability order? model one does.

***

Model one:
Here is a geometry-optimized NaNb2Co structure from Alexandria via LeMat-Bulk. Energies are from PBE.

extended XYZ file:
```
8
Lattice="7.318 0.000 0.000 0.000 7.318 0.000 3.659 3.659 2.752" Properties=species:S:1:pos:R:3 pbc="T T T"
Na 3.659 3.659 0.000
Na 3.659 7.318 1.376
Nb 5.935 1.829 0.688
Nb 1.382 5.488 0.688
Nb 5.488 5.041 2.064
Nb 9.147 9.594 2.064
Co 0.000 0.000 0.000
Co 7.318 3.659 1.376
```

Results
Its space group is I-42d (122).

***

Model two:
Here is a geometry-optimized NaNb2Co structure from Alexandria via LeMat-Bulk. Energies are from PBE.

extended XYZ file:
```
4
Lattice="-1.448 -4.260 0.004 -4.413 -0.876 0.057 -2.004 -1.698 -3.653" Properties=species:S:1:pos:R:3 pbc="T T T"
Na 0.000 0.000 0.000
Nb -1.966 -1.708 -0.898
Nb -5.898 -5.125 -2.694
Co -3.932 -3.417 -1.796
```

Results
Its space group is Fm-3m (225).

***

Which one sits at the bottom of the stability order? model one does.

***

Model one:
Here is a geometry-optimized Na2NbCo structure from Alexandria via LeMat-Bulk. Energies are from PBE.

extended XYZ file:
```
4
Lattice="0.000 3.362 3.362 3.362 0.000 3.362 3.362 3.362 0.000" Properties=species:S:1:pos:R:3 pbc="T T T"
Na 1.681 1.681 1.681
Na 5.044 5.044 5.044
Nb 3.362 3.362 3.362
Co 0.000 0.000 0.000
```

Results
Its space group is Fm-3m (225).

***

Model two:
Here is a geometry-optimized Na2NbCo structure from Alexandria via LeMat-Bulk. Energies are from PBE.

extended XYZ file:
```
8
Lattice="-6.211 6.400 4.241 -6.940 -2.347 -6.622 -7.314 0.419 0.154" Properties=species:S:1:pos:R:3 pbc="T T T"
Na -5.853 3.064 1.367
Na -7.667 0.185 -3.075
Na -11.227 1.560 -1.550
Na -16.183 4.135 -1.194
Nb 0.000 0.000 0.000
Nb -10.050 4.423 1.603
Co -6.575 2.027 -1.190
Co -10.415 0.049 -3.829
```

Results
Its space group is I-42d (122).

***

Which one sits at the bottom of the stability order? model one does.

***

Model one:
Here is a geometry-optimized NaNb3Co structure from Alexandria via LeMat-Bulk. Energies are from PBE.

extended XYZ file:
```
5
Lattice="4.606 0.000 0.000 0.000 4.606 0.000 0.000 0.000 4.606" Properties=species:S:1:pos:R:3 pbc="T T T"
Na 0.000 0.000 0.000
Nb 0.000 2.303 0.000
Nb 0.000 0.000 2.303
Nb 2.303 0.000 0.000
Co 2.303 2.303 2.303
```

Results
Its space group is Pm-3m (221).

***

Model two:
Here is a geometry-optimized NaNb3Co structure from Alexandria via LeMat-Bulk. Energies are from PBE.

extended XYZ file:
```
5
Lattice="4.698 0.000 0.000 0.000 4.698 0.000 0.000 0.000 4.698" Properties=species:S:1:pos:R:3 pbc="T T T"
Na 2.349 2.349 2.349
Nb 0.000 2.349 0.000
Nb 0.000 0.000 2.349
Nb 2.349 0.000 0.000
Co 0.000 0.000 0.000
```

Results
Its space group is Pm-3m (221).

***

Which one sits at the bottom of the stability order? model one does.

***

Model one:
Here is a geometry-optimized NaNd2Co structure from Alexandria via LeMat-Bulk. Energies are from PBE.

extended XYZ file:
```
4
Lattice="-0.118 -0.825 -3.899 -0.178 -3.788 -1.232 -9.421 -1.166 -1.506" Properties=species:S:1:pos:R:3 pbc="T T T"
Na -4.844 -2.890 -3.319
Nd -7.949 -1.224 -1.538
Nd -1.578 -1.479 -1.678
Co -0.205 -3.075 -3.420
```

Results
Its space group is R3m (160).

***

Model two:
Here is a geometry-optimized NaNd2Co structure from Alexandria via LeMat-Bulk. Energies are from PBE.

extended XYZ file:
```
4
Lattice="-0.750 3.561 -1.517 -0.303 0.455 -3.905 -10.674 -0.590 -1.231" Properties=species:S:1:pos:R:3 pbc="T T T"
Co -5.864 1.714 -3.327
Nd -6.972 0.102 -1.438
Nd -4.755 3.325 -5.215
Na 0.000 0.000 0.000
```

Results
Its space group is R-3m (166).

***

Which one sits at the bottom of the stability order? model two does.

***

Model one:
Here is a geometry-optimized NaCoNi2 structure from Alexandria via LeMat-Bulk. Energies are from PBE.

extended XYZ file:
```
4
Lattice="-0.653 -3.610 2.001 -2.819 -2.717 -1.459 1.257 -3.596 -1.716" Properties=species:S:1:pos:R:3 pbc="T T T"
Ni -0.554 -2.481 -0.293
Ni -1.661 -7.442 -0.880
Co -1.108 -4.961 -0.587
Na 0.000 0.000 0.000
```

Results
Its space group is Fm-3m (225).

***

Model two:
Here is a geometry-optimized NaCoNi2 structure from Alexandria via LeMat-Bulk. Energies are from PBE.

extended XYZ file:
```
8
Lattice="-2.887 3.208 -0.310 -3.200 -2.902 -0.231 -3.735 0.290 7.582" Properties=species:S:1:pos:R:3 pbc="T T T"
Ni -3.594 2.222 1.624
Ni -5.725 1.361 1.451
Ni -4.578 0.791 5.520
Ni -5.433 2.929 5.407
Co 0.000 0.000 0.000
Co -4.833 1.825 3.500
Na -3.043 0.153 -0.271
Na -4.990 -1.230 3.540
```

Results
Its space group is I-42d (122).

***

Which one sits at the bottom of the stability order? model two does.